First-principles (PBE) data for a relaxed LaTa2Cu crystal, as listed in the Alexandria database.

Lattice parameters (Å, degrees): 5.106 5.106 5.988 98.44 98.44 34.14
Fractional positions:
La  0.000  0.000  0.000
Ta  0.530  0.530  0.497
Ta  0.788  0.788  0.382
Cu  0.244  0.244  0.744

Output
- E: -7.73 eV per atom
- Formation enthalpy at 0 K: 0.45 eV/atom
- Calculated density: 10.82 g/cm3
- Spin magnetization: 0.0 μB/f.u.